First-principles (PBE-GGA) data for NiBr after structural relaxation, as listed in the Open Quantum Materials Database.

* symmetry: P6_3mc (186)
* crystal system: hexagonal
* energy: -14.11 eV for the cell shown
* ρ: 5.44 g/cm3
* M_tot: 0.96 μB per formula unit

Cell: 3.8644 3.8644 6.5481 Å, 90.00 90.00 120.00°
Site moments in Bohr magnetons follow the coordinates.
Fractional coordinates of all 4 atoms:
1 Br 0.0000 0.0000 0.0048  0.10
2 Br 0.3333 0.6667 0.5048  0.10
3 Ni 0.0000 0.0000 0.3702  0.84
4 Ni 0.3333 0.6667 0.8702  0.83